! Ac2CeSi | the Alexandria database | PBE | optimized geometry; values from VASP
! * symmetry: R-3m
! * E_form (uncorrected): 212 meV per atom
! * magnetization: 1.99 Bohr magnetons per cell
&SYSTEM
  ibrav = 0, nat = 4, ntyp = 3
/
ATOMIC_SPECIES
Ac 227.00 Ac.upf
Ce 140.12 Ce.upf
Si 28.09 Si.upf
CELL_PARAMETERS angstrom
2.0608 1.1898 11.0157
-2.0608 1.1898 11.0157
0.0000 -2.3795 11.0157
ATOMIC_POSITIONS angstrom
Ac 0.0000 0.0000 3.6328
Ac 0.0000 0.0000 29.4143
Ce 0.0000 0.0000 0.0000
Si 0.0000 0.0000 16.5236

---

! Ac5CeSi4 | the Alexandria database | PBE | optimized geometry; values from VASP
! * symmetry: C2/m
! * E_form (uncorrected): -323 meV per atom
! * magnetization: 2.01 Bohr magnetons per cell
&SYSTEM
  ibrav = 0, nat = 10, ntyp = 3
/
ATOMIC_SPECIES
Ac 227.00 Ac.upf
Ce 140.12 Ce.upf
Si 28.09 Si.upf
CELL_PARAMETERS angstrom
9.7225 -2.2236 0.0000
9.7225 2.2236 0.0000
-2.1763 0.0000 8.4278
ATOMIC_POSITIONS angstrom
Ac 0.0000 0.0000 0.0000
Ac 5.0576 0.0000 5.5385
Ac 6.1898 0.0000 1.3960
Ac 11.0790 0.0000 7.0318
Ac 12.2111 0.0000 2.8893
Ce -1.0881 0.0000 4.2139
Si 1.8957 0.0000 4.9913
Si 9.1409 0.0000 2.2161
Si 8.1279 0.0000 6.2117
Si 15.3731 0.0000 3.4365

---

! AcCeSi4 | the Alexandria database | PBE | optimized geometry; values from VASP
! * symmetry: Pbam
! * E_form (uncorrected): -480 meV per atom
! * magnetization: 0.00 Bohr magnetons per cell
&SYSTEM
  ibrav = 0, nat = 24, ntyp = 3
/
ATOMIC_SPECIES
Ac 227.00 Ac.upf
Ce 140.12 Ce.upf
Si 28.09 Si.upf
CELL_PARAMETERS angstrom
7.6763 0.0000 0.0000
0.0000 16.0800 0.0000
0.0000 0.0000 4.3888
ATOMIC_POSITIONS angstrom
Ac 0.9884 2.5695 0.0000
Ac 2.8497 10.6094 0.0000
Ac 4.8265 5.4705 0.0000
Ac 6.6878 13.5105 0.0000
Ce 1.0114 6.6464 0.0000
Ce 2.8267 14.6863 0.0000
Ce 4.8495 1.3936 0.0000
Ce 6.6649 9.4336 0.0000
Si 0.2126 11.0947 2.1944
Si 0.8661 15.2375 2.1944
Si 1.0319 8.7441 2.1944
Si 1.6529 12.9362 2.1944
Si 2.1852 4.8962 2.1944
Si 2.8063 0.7041 2.1944
Si 2.9720 7.1975 2.1944
Si 3.6256 3.0547 2.1944
Si 4.0507 13.0252 2.1944
Si 4.7043 8.8824 2.1944
Si 4.8700 15.3758 2.1944
Si 5.4910 11.1838 2.1944
Si 6.0233 3.1438 2.1944
Si 6.6444 7.3359 2.1944
Si 6.8101 0.8424 2.1944
Si 7.4637 4.9853 2.1944

---

! Ac2CeSi | the Alexandria database | PBE | optimized geometry; values from VASP
! * symmetry: P4/mmm
! * E_form (uncorrected): -62 meV per atom
! * magnetization: 0.90 Bohr magnetons per cell
&SYSTEM
  ibrav = 0, nat = 4, ntyp = 3
/
ATOMIC_SPECIES
Ac 227.00 Ac.upf
Ce 140.12 Ce.upf
Si 28.09 Si.upf
CELL_PARAMETERS angstrom
5.0868 0.0000 0.0000
0.0000 5.0868 0.0000
0.0000 0.0000 4.7803
ATOMIC_POSITIONS angstrom
Ac 0.0000 2.5434 0.0000
Ac 2.5434 0.0000 0.0000
Ce 0.0000 0.0000 2.3901
Si 2.5434 2.5434 2.3901

---

! AcCe2Si | the Alexandria database | PBE | optimized geometry; values from VASP
! * symmetry: R-3m
! * E_form (uncorrected): 26 meV per atom
! * magnetization: 1.98 Bohr magnetons per cell
&SYSTEM
  ibrav = 0, nat = 4, ntyp = 3
/
ATOMIC_SPECIES
Ac 227.00 Ac.upf
Ce 140.12 Ce.upf
Si 28.09 Si.upf
CELL_PARAMETERS angstrom
2.3685 1.3675 6.3333
-2.3685 1.3675 6.3333
0.0000 -2.7349 6.3333
ATOMIC_POSITIONS angstrom
Ac 0.0000 0.0000 0.0000
Ce 0.0000 0.0000 4.2132
Ce 0.0000 0.0000 14.7865
Si 0.0000 0.0000 9.4999

---

! AcCe2Si | the Alexandria database | PBE | optimized geometry; values from VASP
! * symmetry: R3m
! * E_form (uncorrected): -119 meV per atom
! * magnetization: 1.24 Bohr magnetons per cell
&SYSTEM
  ibrav = 0, nat = 4, ntyp = 3
/
ATOMIC_SPECIES
Ac 227.00 Ac.upf
Ce 140.12 Ce.upf
Si 28.09 Si.upf
CELL_PARAMETERS angstrom
1.9870 1.1472 9.5194
-1.9870 1.1472 9.5194
0.0000 -2.2943 9.5194
ATOMIC_POSITIONS angstrom
Ac 0.0000 0.0000 0.0000
Ce 0.0000 0.0000 15.9698
Ce 0.0000 0.0000 22.0081
Si 0.0000 0.0000 4.7006

---

! AcCe2Sm | the Alexandria database | PBE | optimized geometry; values from VASP
! * calculated formation energy: 0.301 eV/atom
! * symmetry: Fm-3m
! * magnetization: 4.35 Bohr magnetons per cell
&SYSTEM
  ibrav = 0, nat = 4, ntyp = 3
/
ATOMIC_SPECIES
Ac 227.00 Ac.upf
Ce 140.12 Ce.upf
Sm 150.36 Sm.upf
CELL_PARAMETERS angstrom
0.0000 4.1442 4.1442
4.1442 0.0000 4.1442
4.1442 4.1442 0.0000
ATOMIC_POSITIONS angstrom
Ac 0.0000 0.0000 0.0000
Ce 2.0721 2.0721 2.0721
Ce 6.2163 6.2163 6.2163
Sm 4.1442 4.1442 4.1442

---

! AcCe4Sm | the Alexandria database | PBE | optimized geometry; values from VASP
! * calculated formation energy: 0.196 eV/atom
! * symmetry: F-43m
! * magnetization: 3.93 Bohr magnetons per cell
&SYSTEM
  ibrav = 0, nat = 6, ntyp = 3
/
ATOMIC_SPECIES
Ac 227.00 Ac.upf
Ce 140.12 Ce.upf
Sm 150.36 Sm.upf
CELL_PARAMETERS angstrom
0.0000 4.5581 4.5581
4.5581 0.0000 4.5581
4.5581 4.5581 0.0000
ATOMIC_POSITIONS angstrom
Ac 0.0000 0.0000 0.0000
Ce 3.4664 3.4664 3.4664
Ce 5.6497 5.6497 3.4664
Ce 5.6497 3.4664 5.6497
Ce 3.4664 5.6497 5.6497
Sm 6.8371 6.8371 6.8371

---

! AcCe2Sm | the Alexandria database | PBE | optimized geometry; values from VASP
! * calculated formation energy: 0.162 eV/atom
! * symmetry: P4/mmm
! * magnetization: 2.09 Bohr magnetons per cell
&SYSTEM
  ibrav = 0, nat = 4, ntyp = 3
/
ATOMIC_SPECIES
Ac 227.00 Ac.upf
Ce 140.12 Ce.upf
Sm 150.36 Sm.upf
CELL_PARAMETERS angstrom
3.6326 0.0000 0.0000
0.0000 3.6326 0.0000
0.0000 0.0000 10.3290
ATOMIC_POSITIONS angstrom
Ac 0.0000 0.0000 0.0000
Ce 1.8163 1.8163 2.6770
Ce 1.8163 1.8163 7.6520
Sm 0.0000 0.0000 5.1645

---

! AcCeSm14 | the Alexandria database | PBE | optimized geometry; values from VASP
! * calculated formation energy: 0.039 eV/atom
! * symmetry: Amm2
! * magnetization: 1.18 Bohr magnetons per cell
&SYSTEM
  ibrav = 0, nat = 16, ntyp = 3
/
ATOMIC_SPECIES
Ac 227.00 Ac.upf
Ce 140.12 Ce.upf
Sm 150.36 Sm.upf
CELL_PARAMETERS angstrom
10.3032 0.0000 0.0000
0.0000 5.1630 5.1628
0.0000 -5.1630 5.1628
ATOMIC_POSITIONS angstrom
Ac 0.0000 0.0000 0.0000
Ce 0.0000 0.0000 5.1682
Sm 0.0000 -2.5796 2.5845
Sm 0.0000 2.5796 2.5845
Sm 2.5979 0.0000 2.6237
Sm 2.5972 -2.5424 5.1657
Sm 2.5972 2.5424 5.1657
Sm 2.5970 0.0000 7.7081
Sm 5.1516 0.0000 0.0022
Sm 5.1516 -2.5833 2.5847
Sm 5.1516 2.5833 2.5847
Sm 5.1516 0.0000 5.1666
Sm 7.7053 0.0000 2.6237
Sm 7.7060 -2.5424 5.1657
Sm 7.7060 2.5424 5.1657
Sm 7.7062 0.0000 7.7081

---

! Ac3CeSm12 | the Alexandria database | PBE | optimized geometry; values from VASP
! * calculated formation energy: 0.045 eV/atom
! * symmetry: P4/mmm
! * magnetization: 0.86 Bohr magnetons per cell
&SYSTEM
  ibrav = 0, nat = 16, ntyp = 3
/
ATOMIC_SPECIES
Ac 227.00 Ac.upf
Ce 140.12 Ce.upf
Sm 150.36 Sm.upf
CELL_PARAMETERS angstrom
5.2187 0.0000 0.0000
0.0000 5.2187 0.0000
0.0000 0.0000 20.8465
ATOMIC_POSITIONS angstrom
Ac 0.0000 0.0000 0.0000
Ac 0.0000 0.0000 5.2812
Ac 0.0000 0.0000 15.5654
Ce 0.0000 0.0000 10.4233
Sm 0.0000 2.6094 2.6463
Sm 0.0000 2.6094 7.9547
Sm 0.0000 2.6094 12.8918
Sm 0.0000 2.6094 18.2003
Sm 2.6094 0.0000 2.6463
Sm 2.6094 0.0000 7.9547
Sm 2.6094 0.0000 12.8918
Sm 2.6094 0.0000 18.2003
Sm 2.6094 2.6094 0.0000
Sm 2.6094 2.6094 5.2829
Sm 2.6094 2.6094 10.4233
Sm 2.6094 2.6094 15.5636

---

! Ac2CeSm | the Alexandria database | PBE | optimized geometry; values from VASP
! * calculated formation energy: 0.106 eV/atom
! * symmetry: P4/mmm
! * magnetization: 1.23 Bohr magnetons per cell
&SYSTEM
  ibrav = 0, nat = 4, ntyp = 3
/
ATOMIC_SPECIES
Ac 227.00 Ac.upf
Ce 140.12 Ce.upf
Sm 150.36 Sm.upf
CELL_PARAMETERS angstrom
3.7912 0.0000 0.0000
0.0000 3.7912 0.0000
0.0000 0.0000 10.5353
ATOMIC_POSITIONS angstrom
Ac 0.0000 0.0000 2.5909
Ac 0.0000 0.0000 7.9444
Ce 1.8956 1.8956 0.0000
Sm 1.8956 1.8956 5.2677

---

- The highest magnetization belongs to which entry?
  number 7

---

- Number 10 is which compound?
  AcCeSm14

---

- Which formula does entry 1 have?
  Ac2CeSi

---

- What is the magnetization in the eighth record?
  3.93 Bohr magnetons per cell